No. 1
A crystal of HfAlIrW2 relaxed with PBEsol, computed with meta-GGA SCAN.

Lattice parameters (Å, degrees): 4.734 4.734 4.853 90.00 90.00 90.00
Atoms (fractional coordinates):
Hf (0.000, 0.000, 0.000)
Al (0.500, 0.500, 0.000)
Ir (0.000, 0.000, 0.500)
W (0.000, 0.500, 0.500)
W (0.500, 0.000, 0.500)

Space-group type: P4/mmm

---

No. 2
A crystal of AgHg2P relaxed with PBEsol, computed with meta-GGA SCAN.

Lattice parameters (Å, degrees): 2.999 2.999 8.764 90.00 90.00 105.40
Atoms (fractional coordinates):
Ag (0.000, 0.000, 0.000)
Hg (0.500, 0.500, 0.251)
Hg (0.500, 0.500, 0.749)
P (0.000, 0.000, 0.500)

Space-group type: Cmmm

---

No. 3
A crystal of RbBiP2S relaxed with PBEsol, computed with meta-GGA SCAN.

Lattice parameters (Å, degrees): 5.325 5.325 5.408 90.00 90.00 90.00
Atoms (fractional coordinates):
Rb (0.000, 0.000, 0.000)
Bi (0.500, 0.500, 0.500)
P (0.000, 0.500, 0.500)
P (0.500, 0.000, 0.500)
S (0.500, 0.500, 0.000)

Formation energy without anion corrections, eV/atom: 0.442
Space-group type: P4/mmm

---

No. 4
A crystal of KPtSeBr2 relaxed with PBEsol, computed with meta-GGA SCAN.

Lattice parameters (Å, degrees): 5.318 5.318 4.787 90.00 90.00 90.00
Atoms (fractional coordinates):
K (0.000, 0.000, 0.000)
Pt (0.500, 0.500, 0.500)
Se (0.500, 0.500, 0.000)
Br (0.000, 0.500, 0.500)
Br (0.500, 0.000, 0.500)

Formation energy without anion corrections, eV/atom: -0.628
Space-group type: P4/mmm

---

No. 5
A crystal of BaSbPb2 relaxed with PBEsol, computed with meta-GGA SCAN.

Lattice parameters (Å, degrees): 6.616 6.616 6.616 143.94 130.04 63.15
Atoms (fractional coordinates):
Ba (0.000, 0.000, 0.000)
Sb (0.500, 0.500, 0.000)
Pb (0.281, 0.781, 0.500)
Pb (0.719, 0.219, 0.500)

Formation energy without anion corrections, eV/atom: -0.469
Space-group type: Immm

---

No. 6
A crystal of Li2AlTl relaxed with PBEsol, computed with meta-GGA SCAN.

Lattice parameters (Å, degrees): 3.508 3.508 6.064 90.00 90.00 90.00
Atoms (fractional coordinates):
Li (0.000, 0.000, 0.000)
Li (0.500, 0.500, 0.252)
Al (0.500, 0.500, 0.772)
Tl (0.000, 0.000, 0.491)

Space-group type: P4mm

---

no.,E (eV per cell)
1,-274.76
2,-176.40
3,-127.53
4,-140.66
5,-230.25
6,-85.44